DFT (GGA-PBE) results for an optimized crystal structure of LaNbZn2Ge.

Structure (CIF):
```
data_LaNbZn2Ge
_symmetry_space_group_name_H-M 'P 4/m m m'
_symmetry_Int_Tables_number 123
_symmetry_space_group_name_Hall '-P 4 2'
_cell_length_a 4.674
_cell_length_b 4.674
_cell_length_c 5.592
_cell_angle_alpha 90.00
_cell_angle_beta 90.00
_cell_angle_gamma 90.00
loop_
_atom_site_label
_atom_site_type_symbol
_atom_site_fract_x
_atom_site_fract_y
_atom_site_fract_z
_atom_site_occupancy
La1 La 0.000 0.000 0.000 1
Nb1 Nb 0.500 0.500 0.000 1
Zn1 Zn 0.000 0.500 0.500 1
Ge1 Ge 0.000 0.000 0.500 1
```

Summary:
* energy: -3.662 eV/atom
* DOS(E_F): 5.254 states/eV/f.u.
* E_form: 770 meV/atom
* spin magnetization: 0.002 μB per cell



DFT (GGA-PBE) results for an optimized crystal structure of Ac2RuRh.

Structure (CIF):
```
data_Ac2RuRh
_symmetry_space_group_name_H-M 'P 4/m m m'
_symmetry_Int_Tables_number 123
_symmetry_space_group_name_Hall '-P 4 2'
_cell_length_a 3.722
_cell_length_b 3.722
_cell_length_c 7.328
_cell_angle_alpha 90.00
_cell_angle_beta 90.00
_cell_angle_gamma 90.00
loop_
_atom_site_label
_atom_site_type_symbol
_atom_site_fract_x
_atom_site_fract_y
_atom_site_fract_z
_atom_site_occupancy
Ac1 Ac 0.000 0.000 0.250 1
Ru1 Ru 0.500 0.500 0.000 1
Rh1 Rh 0.500 0.500 0.500 1
```

Summary:
* energy: -6.419 eV/atom
* DOS(E_F): 2.279 states/eV/f.u.
* E_form: -208 meV/atom
* spin magnetization: 0.000 μB per cell